Material: Cs2ScWF6
Method: DFT, PBE+U
State: relaxed

The structure in CIF format:
```
data_Cs2ScWF6
_chemical_formula_sum 'Cs4 Sc2 W2 F12'
_space_group_name_H-M_alt 'I 4/m m m'
_space_group_IT_number 139
_space_group_name_Hall '-I 4 2'
_cell_length_a 7.2144
_cell_length_b 7.2144
_cell_length_c 8.4323
_cell_angle_alpha 90.00
_cell_angle_beta 90.00
_cell_angle_gamma 90.00
loop_
_atom_site_label
_atom_site_type_symbol
_atom_site_fract_x
_atom_site_fract_y
_atom_site_fract_z
Cs1 Cs 0.0000 0.5000 0.2500
Sc1 Sc 0.0000 0.0000 0.0000
W1 W 0.0000 0.0000 0.5000
F1 F 0.0000 0.0000 0.2506
F2 F 0.1972 0.1972 0.0000
```

Values from the calculation:
Size of the total moment ... 3.000 μB per formula unit
Energy ... -106.17 eV/cell